(1)
A geometry-optimized MoP2Os structure, computed with PBE. Values from VASP.

Cell and atoms, written as Quantum ESPRESSO input:
```
&SYSTEM
  ibrav = 0, nat = 4, ntyp = 3
/
ATOMIC_SPECIES
Mo 95.94 Mo.upf
P 30.97 P.upf
Os 190.23 Os.upf
CELL_PARAMETERS angstrom
2.9203 0.0000 0.0000
0.0000 2.9203 0.0000
0.0000 0.0000 7.5827
ATOMIC_POSITIONS crystal
Mo 0.0000 0.0000 0.0000
P 0.0000 0.0000 0.4319
P 0.5000 0.5000 0.8129
Os 0.5000 0.5000 0.2592
```

Values from the calculation:
- Formation energy: 0.00 eV per atom
- Relative energy among the computed polymorphs: 247 meV per atom
- Magnetization: 0.0 μB per formula unit

(2)
A geometry-optimized ZrCu2Pd6 structure, computed with PBE. Values from VASP.

Cell and atoms, written as Quantum ESPRESSO input:
```
&SYSTEM
  ibrav = 0, nat = 9, ntyp = 3
/
ATOMIC_SPECIES
Zr 91.22 Zr.upf
Cu 63.55 Cu.upf
Pd 106.42 Pd.upf
CELL_PARAMETERS angstrom
4.7189 -2.2660 0.0000
4.7189 2.2660 0.0000
-4.6626 0.0000 6.5016
ATOMIC_POSITIONS crystal
Zr 0.0000 0.0000 0.0000
Cu 0.4048 0.4048 0.7193
Cu 0.5952 0.5952 0.2807
Pd 0.0794 0.0794 0.4078
Pd 0.2765 0.2765 0.9262
Pd 0.3315 0.3315 0.3274
Pd 0.6685 0.6685 0.6726
Pd 0.7235 0.7235 0.0738
Pd 0.9206 0.9206 0.5922
```

Values from the calculation:
- Formation energy: -0.32 eV per atom
- Relative energy among the computed polymorphs: 0 meV per atom
- Magnetization: 0.0 μB per formula unit

(3)
A geometry-optimized NaPmS2 structure, computed with PBE. Values from VASP.

Cell and atoms, written as Quantum ESPRESSO input:
```
&SYSTEM
  ibrav = 0, nat = 4, ntyp = 3
/
ATOMIC_SPECIES
Na 22.99 Na.upf
Pm 145.00 Pm.upf
S 32.06 S.upf
CELL_PARAMETERS angstrom
2.0326 1.1735 7.0020
-2.0326 1.1735 7.0020
0.0000 -2.3470 7.0020
ATOMIC_POSITIONS crystal
Na 0.0000 0.0000 0.0000
Pm 0.1721 0.1721 0.1721
S 0.5808 0.5808 0.5808
S 0.7637 0.7637 0.7637
```

Values from the calculation:
- Relative energy among the computed polymorphs: 47 meV per atom
- Magnetization: 0.0 μB per formula unit
- Formation energy (no corrections): -7.050 eV/f.u.

(4)
A geometry-optimized PrTm2Ge structure, computed with PBE. Values from VASP.

Cell and atoms, written as Quantum ESPRESSO input:
```
&SYSTEM
  ibrav = 0, nat = 4, ntyp = 3
/
ATOMIC_SPECIES
Pr 140.91 Pr.upf
Tm 168.93 Tm.upf
Ge 72.64 Ge.upf
CELL_PARAMETERS angstrom
3.5929 0.0000 0.0000
0.0000 3.5929 0.0000
0.0000 0.0000 8.5720
ATOMIC_POSITIONS crystal
Pr 0.0000 0.0000 0.0000
Tm 0.5000 0.5000 0.3038
Tm 0.5000 0.5000 0.6962
Ge 0.0000 0.0000 0.5000
```

Values from the calculation:
- Formation energy: -0.33 eV per atom
- Relative energy among the computed polymorphs: 0 meV per atom
- Magnetization: 0.0 μB per formula unit

(5)
A geometry-optimized Er2ScPbC structure, computed with PBE. Values from VASP.

Cell and atoms, written as Quantum ESPRESSO input:
```
&SYSTEM
  ibrav = 0, nat = 5, ntyp = 4
/
ATOMIC_SPECIES
Er 167.26 Er.upf
Sc 44.96 Sc.upf
Pb 207.20 Pb.upf
C 12.01 C.upf
CELL_PARAMETERS angstrom
4.8605 0.0000 0.0000
0.0000 4.8605 0.0000
0.0000 0.0000 4.5998
ATOMIC_POSITIONS crystal
Er 0.0000 0.5000 0.0000
Er 0.5000 0.0000 0.0000
Sc 0.0000 0.0000 0.5000
Pb 0.5000 0.5000 0.5000
C 0.0000 0.0000 0.0000
```

Values from the calculation:
- Formation energy: -0.59 eV per atom
- Magnetization: 0.0 μB per formula unit

(6)
A geometry-optimized PrNd2PuN4 structure, computed with PBE. Values from VASP.

Cell and atoms, written as Quantum ESPRESSO input:
```
&SYSTEM
  ibrav = 0, nat = 8, ntyp = 4
/
ATOMIC_SPECIES
Pr 140.91 Pr.upf
Nd 144.24 Nd.upf
Pu 244.00 Pu.upf
N 14.01 N.upf
CELL_PARAMETERS angstrom
6.2400 0.0000 0.0000
0.0000 3.6163 0.0000
-2.0619 0.0000 5.8970
ATOMIC_POSITIONS crystal
Pr 0.0000 0.0000 0.0000
Nd 0.5000 0.0000 0.5000
Nd 0.5000 0.5000 0.0000
Pu 0.0000 0.5000 0.5000
N 0.2333 0.0000 0.7314
N 0.2406 0.5000 0.2631
N 0.7594 0.5000 0.7369
N 0.7667 0.0000 0.2686
```

Values from the calculation:
- Magnetization: 4.6 μB per formula unit
- Formation energy (no corrections): -10.428 eV/f.u.